1.
A PBEsol-optimized structure of SbRu2Au. Source: the Alexandria database, functional meta-GGA SCAN.

As for the formation energy without anion corrections: 0.315 eV/atom. Its crystal system is tetragonal.

a = 2.879 Å, b = 2.879 Å, c = 8.187 Å
α = 90.00°, β = 90.00°, γ = 90.00°
Space group P4mm (No. 99)
Asymmetric unit:
Sb (0.000, 0.000, 0.000) (multiplicity 1)
Ru (0.000, 0.000, 0.557) (multiplicity 1)
Ru (0.500, 0.500, 0.748) (multiplicity 1)
Au (0.500, 0.500, 0.317) (multiplicity 1)

2.
A PBEsol-optimized structure of ScRu2Au. Source: the Alexandria database, functional meta-GGA SCAN.

Its formation energy is -0.066 eV/atom. Its crystal system is cubic.

a = 6.299 Å, b = 6.299 Å, c = 6.299 Å
α = 90.00°, β = 90.00°, γ = 90.00°
Space group F-43m (No. 216)
Asymmetric unit:
Sc (0.000, 0.000, 0.000) (multiplicity 4)
Ru (0.000, 0.000, 0.500) (multiplicity 4)
Ru (0.250, 0.250, 0.750) (multiplicity 4)
Au (0.250, 0.250, 0.250) (multiplicity 4)

Computed calculated total energy, in the same sequence as the records: -43.703 -38.327 eV/atom.
Computed volume, in the same sequence as the records: 16.96 15.62 Å³ per atom.